(1)
{
  "formula": "MgOs2Au",
  "functional": "GGA-PBE",
  "state": "relaxed",
  "final_energy_ev_per_atom": -6.74,
  "sg": "Pmm2 (25)",
  "crystal_system": "orthorhombic",
  "e_form_mev_per_atom": 98,
  "lattice": [[2.8392, 0.0000, 0.0000], [0.0000, 3.8453, 0.0000], [0.0000, 0.0000, 5.8145]],
  "species": ["Mg", "Os", "Os", "Au"],
  "frac_coords": [[0.0000, 0.0000, 0.0000], [0.0000, 0.0000, 0.4696], [0.5000, 0.5000, 0.2895], [0.5000, 0.5000, 0.7748]]
}

***

(2)
{
  "formula": "MgOsAu2",
  "functional": "GGA-PBE",
  "state": "relaxed",
  "final_energy_ev_per_atom": -4.58,
  "sg": "P4mm (99)",
  "crystal_system": "tetragonal",
  "e_form_mev_per_atom": 262,
  "lattice": [[3.3548, 0.0000, 0.0000], [0.0000, 3.3548, 0.0000], [0.0000, 0.0000, 5.9795]],
  "species": ["Mg", "Os", "Au", "Au"],
  "frac_coords": [[0.0000, 0.0000, 0.0000], [0.5000, 0.5000, 0.2543], [0.0000, 0.0000, 0.4788], [0.5000, 0.5000, 0.7618]]
}

***

(3)
{
  "formula": "MgOs2Au",
  "functional": "GGA-PBE",
  "state": "relaxed",
  "final_energy_ev_per_atom": -6.34,
  "sg": "Cmmm (65)",
  "crystal_system": "orthorhombic",
  "e_form_mev_per_atom": 495,
  "lattice": [[2.6323, -4.2058, 0.0000], [2.6323, 4.2058, 0.0000], [0.0000, 0.0000, 2.8384]],
  "species": ["Mg", "Os", "Os", "Au"],
  "frac_coords": [[0.0000, 0.0000, 0.0000], [0.0000, 0.5000, 0.5000], [0.5000, 0.0000, 0.5000], [0.5000, 0.5000, 0.0000]]
}

***

(4)
{
  "formula": "MgOsAu2",
  "functional": "GGA-PBE",
  "state": "relaxed",
  "final_energy_ev_per_atom": -4.58,
  "sg": "I-4m2 (119)",
  "crystal_system": "tetragonal",
  "e_form_mev_per_atom": 269,
  "lattice": [[-2.0098, 2.0098, 4.1551], [2.0098, -2.0098, 4.1551], [2.0098, 2.0098, -4.1551]],
  "species": ["Mg", "Os", "Au", "Au"],
  "frac_coords": [[0.0000, 0.0000, 0.0000], [0.2500, 0.7500, 0.5000], [0.5000, 0.5000, 0.0000], [0.7500, 0.2500, 0.5000]]
}

***

(5)
{
  "formula": "MgOsAu2",
  "functional": "GGA-PBE",
  "state": "relaxed",
  "final_energy_ev_per_atom": -4.67,
  "sg": "P4mm (99)",
  "crystal_system": "tetragonal",
  "e_form_mev_per_atom": 177,
  "lattice": [[2.8090, 0.0000, 0.0000], [0.0000, 2.8090, 0.0000], [0.0000, 0.0000, 8.5014]],
  "species": ["Mg", "Os", "Au", "Au"],
  "frac_coords": [[0.0000, 0.0000, 0.0000], [0.5000, 0.5000, 0.2361], [0.0000, 0.0000, 0.4790], [0.5000, 0.5000, 0.7538]]
}

***

(6)
{
  "formula": "MgOsAu2",
  "functional": "GGA-PBE",
  "state": "relaxed",
  "final_energy_ev_per_atom": -4.67,
  "sg": "Cm (8)",
  "crystal_system": "monoclinic",
  "e_form_mev_per_atom": 174,
  "lattice": [[4.7928, -1.4218, 0.0000], [4.7928, 1.4218, 0.0000], [-0.9240, 0.0000, 4.8955]],
  "species": ["Mg", "Os", "Au", "Au"],
  "frac_coords": [[0.0000, 0.0000, 0.0000], [0.2562, 0.2562, 0.7394], [0.5083, 0.5083, 0.5171], [0.7493, 0.7493, 0.2345]]
}

***

(7)
{
  "formula": "Mg4OsAu",
  "functional": "GGA-PBE",
  "state": "relaxed",
  "final_energy_ev_per_atom": -3.04,
  "sg": "F-43m (216)",
  "crystal_system": "cubic",
  "e_form_mev_per_atom": 438,
  "lattice": [[0.0000, 3.7698, 3.7698], [3.7698, 0.0000, 3.7698], [3.7698, 3.7698, 0.0000]],
  "species": ["Mg", "Mg", "Mg", "Mg", "Os", "Au"],
  "frac_coords": [[0.1247, 0.1247, 0.1247], [0.1247, 0.1247, 0.6260], [0.1247, 0.6260, 0.1247], [0.6260, 0.1247, 0.1247], [0.7500, 0.7500, 0.7500], [0.5000, 0.5000, 0.5000]]
}

***

(8)
{
  "formula": "MgOsAu2",
  "functional": "GGA-PBE",
  "state": "relaxed",
  "final_energy_ev_per_atom": -4.64,
  "sg": "Pmm2 (25)",
  "crystal_system": "orthorhombic",
  "e_form_mev_per_atom": 208,
  "lattice": [[2.7606, 0.0000, 0.0000], [0.0000, 4.2085, 0.0000], [0.0000, 0.0000, 5.7775]],
  "species": ["Mg", "Os", "Au", "Au"],
  "frac_coords": [[0.0000, 0.0000, 0.0000], [0.5000, 0.5000, 0.2425], [0.0000, 0.0000, 0.4802], [0.5000, 0.5000, 0.7552]]
}